# BaReSe4

A geometry-optimized BaReSe4 structure (PBE-GGA, Alexandria via LeMat-Bulk).

Computed properties:
The uncorrected formation energy comes out at 0.6379 eV per atom. The calculated volume is 25.40 Å³ per atom. The calculated density is 6.97 g cm⁻³.

abc: 8.479 8.479 8.479
angles: 90.00 90.00 90.00
Space group F-43m (No. 216)
Symmetry-distinct sites (fractional):
Ba 0.000 0.000 0.000 (multiplicity 4)
Re 0.250 0.250 0.750 (multiplicity 4)
Se 0.124 0.124 0.376 (multiplicity 16)